# 1
# NaGe2WI, optimized geometry, DFT PBE-GGA
# **Energy relative to the elements, uncorrected**: 9.205 eV per formula unit
# **Crystal system**: tetragonal
# **Volume**: 133.9 Å³/cell
data_NaGe2WI
_chemical_formula_sum 'Na1 Ge2 W1 I1'
_symmetry_space_group_name_H-M 'P 4/m m m'
_symmetry_Int_Tables_number 123
_symmetry_space_group_name_Hall '-P 4 2'
_cell_length_a 4.9749
_cell_length_b 4.9749
_cell_length_c 5.4090
_cell_angle_alpha 90.00
_cell_angle_beta 90.00
_cell_angle_gamma 90.00
loop_
_atom_site_label
_atom_site_fract_x
_atom_site_fract_y
_atom_site_fract_z
Na1 0.0000 0.0000 0.0000
Ge1 0.0000 0.5000 0.0000
W1 0.0000 0.0000 0.5000
I1 0.5000 0.5000 0.5000


# 2
# PmCoSbAu, optimized geometry, DFT PBE-GGA
# **Energy relative to the elements, uncorrected**: -0.897 eV per formula unit
# **Crystal system**: cubic
# **Volume**: 332.5 Å³/cell
data_PmCoSbAu
_chemical_formula_sum 'Pm4 Co4 Sb4 Au4'
_symmetry_space_group_name_H-M 'F -4 3 m'
_symmetry_Int_Tables_number 216
_symmetry_space_group_name_Hall 'F -4 2 3'
_cell_length_a 6.9277
_cell_length_b 6.9277
_cell_length_c 6.9277
_cell_angle_alpha 90.00
_cell_angle_beta 90.00
_cell_angle_gamma 90.00
loop_
_atom_site_label
_atom_site_fract_x
_atom_site_fract_y
_atom_site_fract_z
Pm1 0.0000 0.0000 0.0000
Co1 0.2500 0.2500 0.7500
Sb1 0.0000 0.0000 0.5000
Au1 0.2500 0.2500 0.2500


# 3
# Tm4Ir3Pd, optimized geometry, DFT PBE-GGA
# **E_form**: -0.947 eV/atom
# **Crystal system**: tetragonal
# **Volume**: 156.8 Å³/cell
data_Tm4Ir3Pd
_chemical_formula_sum 'Tm4 Ir3 Pd1'
_symmetry_space_group_name_H-M 'P 4/m m m'
_symmetry_Int_Tables_number 123
_symmetry_space_group_name_Hall '-P 4 2'
_cell_length_a 4.7341
_cell_length_b 4.7341
_cell_length_c 6.9967
_cell_angle_alpha 90.00
_cell_angle_beta 90.00
_cell_angle_gamma 90.00
loop_
_atom_site_label
_atom_site_fract_x
_atom_site_fract_y
_atom_site_fract_z
Tm1 0.0000 0.5000 0.2471
Ir1 0.0000 0.0000 0.0000
Ir2 0.0000 0.0000 0.5000
Ir3 0.5000 0.5000 0.0000
Pd1 0.5000 0.5000 0.5000


# 4
# Ca2ScV, optimized geometry, DFT PBE-GGA
# **Offset from the most stable computed form**: 0.0 meV per atom
# **E_form**: 0.589 eV/atom
# **Crystal system**: cubic
# **Volume**: 455.0 Å³/cell
data_Ca2ScV
_chemical_formula_sum 'Ca8 Sc4 V4'
_symmetry_space_group_name_H-M 'F m -3 m'
_symmetry_Int_Tables_number 225
_symmetry_space_group_name_Hall '-F 4 2 3'
_cell_length_a 7.6913
_cell_length_b 7.6913
_cell_length_c 7.6913
_cell_angle_alpha 90.00
_cell_angle_beta 90.00
_cell_angle_gamma 90.00
loop_
_atom_site_label
_atom_site_fract_x
_atom_site_fract_y
_atom_site_fract_z
Ca1 0.2500 0.2500 0.2500
Sc1 0.0000 0.0000 0.0000
V1 0.0000 0.0000 0.5000


# 5
# SrLiScCo2, optimized geometry, DFT PBE-GGA
# **E_form**: 1.310 eV/atom
# **Crystal system**: tetragonal
# **Volume**: 104.6 Å³/cell
data_SrLiScCo2
_chemical_formula_sum 'Sr1 Li1 Sc1 Co2'
_symmetry_space_group_name_H-M 'P 4/m m m'
_symmetry_Int_Tables_number 123
_symmetry_space_group_name_Hall '-P 4 2'
_cell_length_a 4.8368
_cell_length_b 4.8368
_cell_length_c 4.4712
_cell_angle_alpha 90.00
_cell_angle_beta 90.00
_cell_angle_gamma 90.00
loop_
_atom_site_label
_atom_site_fract_x
_atom_site_fract_y
_atom_site_fract_z
Sr1 0.0000 0.0000 0.0000
Li1 0.0000 0.0000 0.5000
Sc1 0.5000 0.5000 0.5000
Co1 0.0000 0.5000 0.0000


# 6
# CuOsRh2, optimized geometry, DFT PBE-GGA
# **Offset from the most stable computed form**: 358.4 meV per atom
# **E_form**: 0.381 eV/atom
# **Crystal system**: orthorhombic
# **Volume**: 56.1 Å³/cell
data_CuOsRh2
_chemical_formula_sum 'Cu1 Os1 Rh2'
_symmetry_space_group_name_H-M 'P m m m'
_symmetry_Int_Tables_number 47
_cell_length_a 2.7097
_cell_length_b 4.5275
_cell_length_c 4.5751
_cell_angle_alpha 90.00
_cell_angle_beta 90.00
_cell_angle_gamma 90.00
loop_
_symmetry_equiv_pos_as_xyz
'x,y,z'
'-x,-y,-z'
'-x,-y,z'
'x,y,-z'
'x,-y,-z'
'-x,y,z'
'-x,y,-z'
'x,-y,z'
loop_
_atom_site_label
_atom_site_fract_x
_atom_site_fract_y
_atom_site_fract_z
Cu1 0.0000 0.0000 0.0000
Os1 0.5000 0.0000 0.5000
Rh1 0.0000 0.5000 0.5000
Rh2 0.5000 0.5000 0.0000


# 7
# Ag2PbN, optimized geometry, DFT PBE-GGA
# **Offset from the most stable computed form**: 274.7 meV per atom
# **Energy relative to the elements, uncorrected**: 4.223 eV per formula unit
# **Crystal system**: cubic
# **Volume**: 288.6 Å³/cell
data_Ag2PbN
_chemical_formula_sum 'Ag8 Pb4 N4'
_symmetry_space_group_name_H-M 'F m -3 m'
_symmetry_Int_Tables_number 225
_symmetry_space_group_name_Hall '-F 4 2 3'
_cell_length_a 6.6084
_cell_length_b 6.6084
_cell_length_c 6.6084
_cell_angle_alpha 90.00
_cell_angle_beta 90.00
_cell_angle_gamma 90.00
loop_
_atom_site_label
_atom_site_fract_x
_atom_site_fract_y
_atom_site_fract_z
Ag1 0.2500 0.2500 0.2500
Pb1 0.0000 0.0000 0.0000
N1 0.0000 0.0000 0.5000


# 8
# Ho6Si2PSe3, optimized geometry, DFT PBE-GGA
# **Energy relative to the elements, uncorrected**: -17.591 eV per formula unit
# **Crystal system**: monoclinic
# **Volume**: 575.5 Å³/cell
data_Ho6Si2PSe3
_chemical_formula_sum 'Ho12 Si4 P2 Se6'
_symmetry_space_group_name_H-M 'C 1 2/m 1'
_symmetry_Int_Tables_number 12
_cell_length_a 17.8054
_cell_length_b 4.0640
_cell_length_c 8.1866
_cell_angle_alpha 90.00
_cell_angle_beta 103.74
_cell_angle_gamma 90.00
loop_
_symmetry_equiv_pos_as_xyz
'x,y,z'
'-x,-y,-z'
'-x,y,-z'
'x,-y,z'
'x+1/2,y+1/2,z'
'-x+1/2,-y+1/2,-z'
'-x+1/2,y+1/2,-z'
'x+1/2,-y+1/2,z'
loop_
_atom_site_label
_atom_site_fract_x
_atom_site_fract_y
_atom_site_fract_z
Ho1 0.0045 0.0000 0.2391
Ho2 0.1624 0.5000 0.0920
Ho3 0.1694 0.5000 0.5750
Si1 0.1664 0.0000 0.3323
P1 0.0000 0.5000 0.0000
Se1 0.0000 0.5000 0.5000
Se2 0.1655 0.0000 0.8343


# 9
# Cs2GeTe4Au, optimized geometry, DFT PBE-GGA
# **Energy relative to the elements, uncorrected**: -3.787 eV per formula unit
# **Crystal system**: orthorhombic
# **Volume**: 2766.8 Å³/cell
data_Cs2GeTe4Au
_chemical_formula_sum 'Cs16 Ge8 Te32 Au8'
_symmetry_space_group_name_H-M 'F d d d'
_symmetry_Int_Tables_number 70
_cell_length_a 7.2628
_cell_length_b 15.4499
_cell_length_c 24.6575
_cell_angle_alpha 90.00
_cell_angle_beta 90.00
_cell_angle_gamma 90.00
loop_
_symmetry_equiv_pos_as_xyz
'x,y,z'
'-x,-y,-z'
'-x+1/4,-y+1/4,z'
'x+1/4,y+1/4,-z'
'x,-y+1/4,-z+1/4'
'-x,y+1/4,z+1/4'
'-x+1/4,y,-z+1/4'
'x+1/4,-y,z+1/4'
'x,y+1/2,z+1/2'
'-x,-y+1/2,-z+1/2'
'-x+1/4,-y+3/4,z+1/2'
'x+1/4,y+3/4,-z+1/2'
'x,-y+3/4,-z+3/4'
'-x,y+3/4,z+3/4'
'-x+1/4,y+1/2,-z+3/4'
'x+1/4,-y+1/2,z+3/4'
'x+1/2,y,z+1/2'
'-x+1/2,-y,-z+1/2'
'-x+3/4,-y+1/4,z+1/2'
'x+3/4,y+1/4,-z+1/2'
'x+1/2,-y+1/4,-z+3/4'
'-x+1/2,y+1/4,z+3/4'
'-x+3/4,y,-z+3/4'
'x+3/4,-y,z+3/4'
'x+1/2,y+1/2,z'
'-x+1/2,-y+1/2,-z'
'-x+3/4,-y+3/4,z'
'x+3/4,y+3/4,-z'
'x+1/2,-y+3/4,-z+1/4'
'-x+1/2,y+3/4,z+1/4'
'-x+3/4,y+1/2,-z+1/4'
'x+3/4,-y+1/2,z+1/4'
loop_
_atom_site_label
_atom_site_fract_x
_atom_site_fract_y
_atom_site_fract_z
Cs1 0.1250 0.1250 0.3044
Ge1 0.1250 0.1250 0.6250
Te1 0.1060 0.2783 0.8203
Au1 0.1250 0.1250 0.1250


# 10
# BaZr2Pt2, optimized geometry, DFT PBE-GGA
# **Offset from the most stable computed form**: 270.7 meV per atom
# **E_form**: -0.484 eV/atom
# **Crystal system**: tetragonal
# **Volume**: 269.5 Å³/cell
data_BaZr2Pt2
_chemical_formula_sum 'Ba2 Zr4 Pt4'
_symmetry_space_group_name_H-M 'I 4/m m m'
_symmetry_Int_Tables_number 139
_symmetry_space_group_name_Hall '-I 4 2'
_cell_length_a 5.0274
_cell_length_b 5.0274
_cell_length_c 10.6618
_cell_angle_alpha 90.00
_cell_angle_beta 90.00
_cell_angle_gamma 90.00
loop_
_atom_site_label
_atom_site_fract_x
_atom_site_fract_y
_atom_site_fract_z
Ba1 0.0000 0.0000 0.0000
Zr1 0.0000 0.0000 0.3457
Pt1 0.0000 0.5000 0.2500


# 11
# HfCoTe2Mo, optimized geometry, DFT PBE-GGA
# **Energy relative to the elements, uncorrected**: 3.241 eV per formula unit
# **Crystal system**: tetragonal
# **Volume**: 108.2 Å³/cell
data_HfCoTe2Mo
_chemical_formula_sum 'Hf1 Co1 Te2 Mo1'
_symmetry_space_group_name_H-M 'P 4/m m m'
_symmetry_Int_Tables_number 123
_symmetry_space_group_name_Hall '-P 4 2'
_cell_length_a 4.9769
_cell_length_b 4.9769
_cell_length_c 4.3694
_cell_angle_alpha 90.00
_cell_angle_beta 90.00
_cell_angle_gamma 90.00
loop_
_atom_site_label
_atom_site_fract_x
_atom_site_fract_y
_atom_site_fract_z
Hf1 0.0000 0.0000 0.0000
Co1 0.5000 0.5000 0.5000
Te1 0.0000 0.5000 0.5000
Mo1 0.5000 0.5000 0.0000


# 12
# RbAs, optimized geometry, DFT PBE-GGA
# **Offset from the most stable computed form**: 150.2 meV per atom
# **E_form**: -0.282 eV/atom
# **Crystal system**: orthorhombic
# **Volume**: 1112.5 Å³/cell
data_RbAs
_chemical_formula_sum 'Rb16 As16'
_symmetry_space_group_name_H-M 'F d d d'
_symmetry_Int_Tables_number 70
_cell_length_a 6.2286
_cell_length_b 10.8527
_cell_length_c 16.4572
_cell_angle_alpha 90.00
_cell_angle_beta 90.00
_cell_angle_gamma 90.00
loop_
_symmetry_equiv_pos_as_xyz
'x,y,z'
'-x,-y,-z'
'-x+1/4,-y+1/4,z'
'x+1/4,y+1/4,-z'
'x,-y+1/4,-z+1/4'
'-x,y+1/4,z+1/4'
'-x+1/4,y,-z+1/4'
'x+1/4,-y,z+1/4'
'x,y+1/2,z+1/2'
'-x,-y+1/2,-z+1/2'
'-x+1/4,-y+3/4,z+1/2'
'x+1/4,y+3/4,-z+1/2'
'x,-y+3/4,-z+3/4'
'-x,y+3/4,z+3/4'
'-x+1/4,y+1/2,-z+3/4'
'x+1/4,-y+1/2,z+3/4'
'x+1/2,y,z+1/2'
'-x+1/2,-y,-z+1/2'
'-x+3/4,-y+1/4,z+1/2'
'x+3/4,y+1/4,-z+1/2'
'x+1/2,-y+1/4,-z+3/4'
'-x+1/2,y+1/4,z+3/4'
'-x+3/4,y,-z+3/4'
'x+3/4,-y,z+3/4'
'x+1/2,y+1/2,z'
'-x+1/2,-y+1/2,-z'
'-x+3/4,-y+3/4,z'
'x+3/4,y+3/4,-z'
'x+1/2,-y+3/4,-z+1/4'
'-x+1/2,y+3/4,z+1/4'
'-x+3/4,y+1/2,-z+1/4'
'x+3/4,-y+1/2,z+1/4'
loop_
_atom_site_label
_atom_site_fract_x
_atom_site_fract_y
_atom_site_fract_z
Rb1 0.1250 0.2900 0.1250
As1 0.1250 0.1250 0.5536